Below is Ni3OF5 after structural relaxation, with properties calculated at the PBE with a Hubbard U level.

- Theoretical density: 4.64 g cm⁻³
- Relative energy among the computed polymorphs: 0.019 eV/f.u.
- VASP energy: -77.0 eV per cell

Lattice parameters (Å, degrees): 3.0940 4.6996 14.1163 90.00 90.00 90.00
Last column: nearest neighbours and their distance in Å.
Fractional coordinates of all 18 atoms:
F  0.0000  0.4489  0.5648  3 Ni 2.04
Ni  0.5000  0.2365  0.5026  1 O 1.93, 5 F 2.03-2.04
Ni  0.5000  0.2324  0.1632  2 O 1.97, 4 F 2.04-2.06
Ni  0.0000  0.7635  0.0026  1 O 1.93, 5 F 2.03-2.04
F  0.5000  0.5419  0.4009  3 Ni 2.03
F  0.5000  0.5511  0.0648  3 Ni 2.04
F  0.5000  0.9344  0.2682  3 Ni 2.03-2.04
O  0.0000  0.0498  0.1010  3 Ni 1.93-1.97
O  0.5000  0.9502  0.6010  3 Ni 1.93-1.97
Ni  0.5000  0.2640  0.8339  6 F 2.01-2.03
F  0.0000  0.0656  0.7682  3 Ni 2.03-2.04
F  0.0000  0.0459  0.4337  3 Ni 2.03
Ni  0.0000  0.7676  0.6632  2 O 1.97, 4 F 2.04-2.06
F  0.5000  0.5629  0.7317  3 Ni 2.01-2.06
F  0.5000  0.9541  0.9337  3 Ni 2.03
Ni  0.0000  0.7360  0.3339  6 F 2.01-2.03
F  0.0000  0.4371  0.2317  3 Ni 2.01-2.06
F  0.0000  0.4581  0.9009  3 Ni 2.03